Material: Sm2Be15Cu2
Method: DFT, PBE
State: relaxed

a = 7.9037 Å, b = 7.9037 Å, c = 11.5835 Å
α = 90.00°, β = 90.00°, γ = 120.00°
Space group R-3m (No. 166, hexagonal axes)
One atom of each set of equivalent atoms:
Sm1 0.0000 0.0000 0.1557
Be1 0.0000 0.2747 0.5000
Be2 0.0000 0.5000 0.0000
Be3 0.0088 0.5044 0.3367
Cu1 0.0000 0.0000 0.3968

Values from the calculation:
calculated formation energy = -104 meV/atom
density = 4.475 Mg/m³
Fermi-level density of states = 15.97 states/eV per cell
final energy = -3.9734 eV/atom
crystal system = trigonal